Entry 1:
Below is a relaxed structure of SrMnIr2, with properties calculated at the GGA-PBE level.

Geometry as POSCAR:
```
SrMnIr2
1.0
-4.2696 -1.4748 1.2664
-0.6583 -4.4692 1.2651
-0.8801 -1.0634 4.4836
Ir Sr Mn
2 1 1
Cartesian
0.0000 0.0000 0.0000
-4.3560 -5.2556 5.2613
-1.4520 -1.7519 1.7538
-2.9040 -3.5037 3.5075
```

Values from the calculation:
Distance to the lowest polymorph of the same formula, kJ per mole of atoms: 58.2
Total magnetic moment, μB per formula unit: 4.72
Electronic total energy, eV/atom: -6.61


Entry 2:
Below is a relaxed structure of CuNiPdPb, with properties calculated at the GGA-PBE level.

Geometry as POSCAR:
```
CuNiPdPb
1.0
4.4608 0.0000 0.0000
2.2304 3.8632 0.0000
2.2304 1.2877 3.6422
Pd Ni Cu Pb
1 1 1 1
Cartesian
6.6912 3.8632 2.7317
2.2304 1.2877 0.9106
4.4608 2.5754 1.8211
0.0000 0.0000 0.0000
```

Values from the calculation:
Total magnetic moment, μB per formula unit: 0.00
Electronic total energy, eV/atom: -4.64


Entry 3:
Below is a relaxed structure of Ca3CeU2As6, with properties calculated at the GGA-PBE level.

Geometry as POSCAR:
```
Ca3CeU2As6
1.0
7.2768 -0.0013 0.0003
-3.6377 6.3023 0.0003
-1.2138 -2.1017 6.8411
Ca As Ce U
3 6 1 2
Cartesian
-2.4474 4.2135 3.4209
1.2126 2.0997 3.4209
4.8726 -0.0141 3.4209
2.3958 4.1482 1.5860
-1.2414 2.1532 1.5846
2.4854 0.0008 1.5846
0.0295 0.0511 5.2557
3.6667 2.0462 5.2572
-0.0601 4.1985 5.2572
0.0000 0.0000 0.0000
-0.0027 4.2029 0.0003
3.6417 2.0981 0.0003
```

Values from the calculation:
Total magnetic moment, μB per formula unit: 4.03
Electronic total energy, eV/atom: -6.28


Entry 4:
Below is a relaxed structure of Pa2Cd2Pt15, with properties calculated at the GGA-PBE level.

Geometry as POSCAR:
```
Pa2Cd2Pt15
1.0
7.1159 0.0503 0.0449
0.9731 7.0493 0.0449
0.9731 0.8541 6.9975
Pt Cd Pa
15 2 2
Cartesian
2.8810 0.6044 4.8381
2.8810 4.8755 0.0449
5.4540 4.7869 1.1657
0.4866 0.4270 3.4987
0.9731 5.1251 2.2043
2.4009 5.1864 4.6214
0.9731 2.7782 4.8381
3.6081 3.1668 5.9215
0.4866 3.5246 0.0224
5.2080 0.3000 2.2043
3.5580 0.0252 0.0224
3.6081 6.2460 2.4658
6.6613 2.7673 2.4658
5.2080 2.2241 0.0449
5.4540 1.7077 4.6214
5.6310 4.9423 4.4039
3.4311 3.0114 2.6833
0.9976 0.8756 0.7802
8.0646 7.0781 6.3070
```

Values from the calculation:
Total magnetic moment, μB per formula unit: 0.43
Electronic total energy, eV/atom: -6.20


Entry 5:
Below is a relaxed structure of RbSrHgCl5, with properties calculated at the GGA-PBE level.

Geometry as POSCAR:
```
RbSrHgCl5
1.0
-0.1337 5.6699 -5.5796
-6.9898 0.3063 3.7877
6.7852 3.6228 7.0406
Rb Cl Sr Hg
2 10 2 2
Cartesian
2.6244 6.5635 2.8854
-2.9627 3.0354 2.3633
1.1339 3.6714 3.9138
1.2966 3.9429 8.2797
-1.4722 5.9276 1.3349
-2.2272 4.3500 5.9337
1.8889 5.2490 -0.6850
4.3654 7.9256 0.5067
-1.4876 2.4632 -0.6600
-1.6349 5.6561 -3.0310
-4.7037 1.6734 4.7420
1.1493 7.1357 5.9087
3.3926 1.8114 3.5203
0.0000 0.0000 0.0000
0.2782 4.7281 6.0910
-0.6165 4.8709 -0.8422
```

Values from the calculation:
Total magnetic moment, μB per formula unit: 0.00
Electronic total energy, eV/atom: -3.17


Entry 6:
Below is a relaxed structure of Rb5Ga2Au5, with properties calculated at the GGA-PBE level.

Geometry as POSCAR:
```
Rb5Ga2Au5
1.0
-4.8993 3.0145 -1.6774
-3.6068 -2.0667 -3.8819
-9.2464 -3.4771 10.0551
Au Rb Ga
5 5 2
Cartesian
-13.3580 -1.2698 4.6265
-4.3944 -1.2594 -0.1306
-7.6760 0.6325 2.1518
0.0000 0.0000 0.0000
-10.0765 -3.1617 2.3441
-9.6469 -1.0364 4.9092
-8.1055 -1.4928 -0.4133
-6.1720 0.1924 -3.0318
-6.4266 -2.7719 3.0866
-11.5804 -2.7216 7.5277
-6.2627 1.9112 0.3218
-11.4898 -4.4404 4.1741
```

Values from the calculation:
Total magnetic moment, μB per formula unit: 0.00
Electronic total energy, eV/atom: -2.45


Entry 7:
Below is a relaxed structure of PuScHg4, with properties calculated at the GGA-PBE level.

Geometry as POSCAR:
```
PuScHg4
1.0
-1.9325 -2.7225 0.0402
2.8926 -4.1579 -3.8738
0.1249 -2.0190 7.9316
Hg Pu Sc
4 1 1
Cartesian
-0.1729 -5.9505 4.6754
1.5529 -7.2237 1.4141
1.2580 -2.9489 -0.5774
-0.4678 -1.6757 2.6839
0.0000 0.0000 0.0000
0.5425 -4.4497 2.0490
```

Values from the calculation:
Total magnetic moment, μB per formula unit: 5.93
Electronic total energy, eV/atom: -3.82


Entry 8:
Below is a relaxed structure of ScCuSn2, with properties calculated at the GGA-PBE level.

Geometry as POSCAR:
```
ScCuSn2
1.0
-2.0713 -1.0192 -3.4179
0.2917 -4.3060 1.1073
-3.8420 0.3144 2.2345
Sc Sn Cu
1 2 1
Cartesian
-2.8108 -2.5054 -0.0380
-1.9210 0.1572 1.1173
0.1458 -2.1530 0.5536
-1.0356 -0.5096 -1.7089
```

Values from the calculation:
Total magnetic moment, μB per formula unit: 0.00
Electronic total energy, eV/atom: -4.90


Entry 9:
Below is a relaxed structure of PrNd2RuO8, with properties calculated at the GGA-PBE level.

Geometry as POSCAR:
```
PrNd2RuO8
1.0
-2.7394 3.5270 1.5436
-1.9531 0.4927 -4.9322
-5.3056 -4.5700 1.3053
O Pr Nd Ru
8 1 2 1
Cartesian
-4.1478 -0.7023 -0.0843
-8.5544 -1.6350 -1.6397
-5.8504 0.1520 -1.9991
-7.1343 -0.2999 1.2042
-2.8638 -0.2504 -3.2876
-6.3376 -2.6706 -2.7135
-3.6605 2.1203 0.6302
-1.4437 1.0847 -0.4437
-2.6528 -2.2850 0.6526
-6.1276 -1.6208 -0.5886
-3.8706 1.0705 -1.4948
0.0000 0.0000 0.0000
```

Values from the calculation:
Total magnetic moment, μB per formula unit: 1.04
Electronic total energy, eV/atom: -7.51


Entry 10:
Below is a relaxed structure of ReNiP2C, with properties calculated at the GGA-PBE level.

Geometry as POSCAR:
```
ReNiP2C
1.0
-1.1931 -1.0418 3.7688
-3.5340 -0.9023 -1.3682
1.2389 -3.8381 -0.6688
Re Ni C P
1 1 1 2
Cartesian
-1.7670 -0.4511 -0.6841
-1.7441 -2.8911 0.8659
0.0000 0.0000 0.0000
0.6194 -1.9190 -0.3344
-0.5966 -0.5209 1.8844
```

Values from the calculation:
Distance to the lowest polymorph of the same formula, kJ per mole of atoms: 0.0
Total magnetic moment, μB per formula unit: 0.00
Electronic total energy, eV/atom: -6.57


Entry 11:
Below is a relaxed structure of PmOsO5, with properties calculated at the GGA-PBE level.

Geometry as POSCAR:
```
PmOsO5
1.0
-5.2273 -2.1296 0.1429
-1.2796 -1.3681 5.3265
-4.7827 5.1626 2.8840
O Os Pm
10 2 2
Cartesian
-5.1896 2.4415 7.0655
-6.1001 -0.7767 1.2880
-5.7002 -2.1886 4.5287
-3.3256 1.2475 2.2154
-6.7117 0.8031 3.2520
-8.6256 3.1235 4.3687
-2.6640 -1.4587 3.9848
-5.5894 3.8534 3.8248
-4.5779 0.8618 5.1015
-7.9641 0.4173 6.1381
0.0000 0.0000 0.0000
-2.3914 2.5813 1.4420
-6.6538 2.1591 5.1429
-4.6359 -0.4943 3.2105
```

Values from the calculation:
Distance to the lowest polymorph of the same formula, kJ per mole of atoms: 0.0
Total magnetic moment, μB per formula unit: 0.96
Electronic total energy, eV/atom: -7.65


Entry 12:
Below is a relaxed structure of LaTa3Se, with properties calculated at the GGA-PBE level.

Geometry as POSCAR:
```
LaTa3Se
1.0
4.9827 0.0000 0.0000
0.0000 4.9827 0.0000
0.0000 0.0000 4.9827
Ta Se La
3 1 1
Cartesian
0.0000 0.0000 2.4913
0.0000 2.4913 0.0000
2.4913 0.0000 0.0000
2.4913 2.4913 2.4913
0.0000 0.0000 0.0000
```

Values from the calculation:
Distance to the lowest polymorph of the same formula, kJ per mole of atoms: 165.0
Total magnetic moment, μB per formula unit: 0.00
Electronic total energy, eV/atom: -6.46


Question: Look up the electronic total energy of the twelfth one.
Answer: -6.46 eV/atom


Question: Which value of electronic total energy does entry 1 give?
Answer: -6.61 eV/atom


Question: What is the formula in the fifth record?
Answer: RbSrHgCl5